Record 1
A plane-wave DFT calculation with GGA-PBE was carried out for a relaxed structure of LaNd8Er4.

Calculated values
* total moment: 0.000 μB per atom
* D(E_F): 17.08 states/eV/f.u.
* total energy: -4.55 eV per atom

a = 7.4050 Å, b = 7.4050 Å, c = 28.1332 Å
α = 90.00°, β = 90.00°, γ = 120.00°
Space group R-3m (No. 166, hexagonal axes)
Unique sites:
La: 0.0000 0.0000 0.0000 [3 per cell]
Nd: 0.0000 0.0000 0.2817 [6 per cell]
Nd: 0.0318 0.5159 0.2659 [18 per cell]
Er: 0.0000 0.0000 0.5000 [3 per cell]
Er: 0.0000 0.5000 0.5000 [9 per cell]

***

Record 2
A plane-wave DFT calculation with GGA-PBE was carried out for a relaxed structure of InCuP2.

Calculated values
* total moment: 0.000 μB per atom
* D(E_F): 0.75 states/eV/f.u.
* total energy: -4.41 eV per atom

a = 10.726 Å, b = 3.261 Å, c = 4.750 Å
α = 90.00°, β = 110.52°, γ = 90.00°
Space group C2/m (No. 12)
Unique sites:
In: 0.000 0.000 0.000 [2 per cell]
Cu: 0.000 0.500 0.500 [2 per cell]
P: 0.226 0.500 0.631 [4 per cell]

***

Record 3
A plane-wave DFT calculation with GGA-PBE was carried out for a relaxed structure of ReMo2Ru.

Calculated values
* total moment: 0.000 μB per atom
* offset from the most stable computed form: 0.0077 eV/atom
* D(E_F): 4.29 states/eV/f.u.
* total energy: -10.73 eV per atom

a = 5.591 Å, b = 7.808 Å, c = 2.785 Å
α = 90.00°, β = 90.00°, γ = 90.00°
Space group Cmmm (No. 65)
Unique sites:
Re: 0.000 0.000 0.000 [2 per cell]
Mo: 0.250 0.250 0.500 [4 per cell]
Ru: 0.000 0.500 0.000 [2 per cell]

***

Record 4
A plane-wave DFT calculation with GGA-PBE was carried out for a relaxed structure of PmCS.

Calculated values
* total moment: 0.000 μB per atom
* offset from the most stable computed form: 0.0000 eV/atom
* energy relative to the elements, uncorrected: -0.976 eV/atom
* D(E_F): 0.00 states/eV/f.u.
* total energy: -7.01 eV per atom

a = 8.366 Å, b = 4.319 Å, c = 6.982 Å
α = 90.00°, β = 90.05°, γ = 90.00°
Space group C2/m (No. 12)
Unique sites:
Pm: 0.165 0.000 0.237 [4 per cell]
C: 0.075 0.500 0.985 [4 per cell]
S: 0.155 0.000 0.649 [4 per cell]

***

Record 5
A plane-wave DFT calculation with GGA-PBE was carried out for a relaxed structure of LiPm3Hg4.

Calculated values
* total moment: 0.000 μB per atom
* D(E_F): 7.80 states/eV/f.u.
* total energy: -2.62 eV per atom

a = 5.2345 Å, b = 5.2345 Å, c = 26.3675 Å
α = 90.00°, β = 90.00°, γ = 120.00°
Space group R-3m (No. 166, hexagonal axes)
Unique sites:
Li: 0.0000 0.0000 0.0000 [3 per cell]
Pm: 0.0000 0.0000 0.2557 [6 per cell]
Pm: 0.0000 0.0000 0.5000 [3 per cell]
Hg: 0.0000 0.0000 0.1215 [6 per cell]
Hg: 0.0000 0.0000 0.3737 [6 per cell]

***

Record 6
A plane-wave DFT calculation with GGA-PBE was carried out for a relaxed structure of PmGaNi.

Calculated values
* total moment: 0.000 μB per atom
* offset from the most stable computed form: 0.1827 eV/atom
* D(E_F): 1.82 states/eV/f.u.
* total energy: -4.92 eV per atom

a = 9.624 Å, b = 4.309 Å, c = 6.236 Å
α = 90.00°, β = 90.00°, γ = 90.00°
Space group Pnma (No. 62)
Unique sites:
Pm: 0.159 0.250 0.058 [4 per cell]
Ga: 0.076 0.250 0.566 [4 per cell]
Ni: 0.090 0.750 0.744 [4 per cell]

***

Record 7
A plane-wave DFT calculation with GGA-PBE was carried out for a relaxed structure of Na3Nd2UTe6.

Calculated values
* total moment: 0.250 μB per atom
* energy relative to the elements, uncorrected: -1.133 eV/atom
* D(E_F): 8.22 states/eV/f.u.
* total energy: -4.77 eV per atom

a = 7.845 Å, b = 13.570 Å, c = 7.999 Å
α = 90.00°, β = 109.01°, γ = 90.00°
Space group C2/m (No. 12)
Unique sites:
Na: 0.000 0.000 0.000 [2 per cell]
Na: 0.000 0.332 0.000 [4 per cell]
Nd: 0.000 0.166 0.500 [4 per cell]
U: 0.000 0.500 0.500 [2 per cell]
Te: 0.244 0.335 0.739 [8 per cell]
Te: 0.249 0.500 0.261 [4 per cell]

***

Record 8
A plane-wave DFT calculation with GGA-PBE was carried out for a relaxed structure of YCrRh2.

Calculated values
* total moment: 0.811 μB per atom
* offset from the most stable computed form: 0.1585 eV/atom
* D(E_F): 4.22 states/eV/f.u.
* total energy: -7.86 eV per atom

a = 3.988 Å, b = 3.988 Å, c = 8.683 Å
α = 90.00°, β = 90.00°, γ = 90.00°
Space group I-4m2 (No. 119)
Unique sites:
Y: 0.000 0.000 0.000 [2 per cell]
Cr: 0.000 0.500 0.750 [2 per cell]
Rh: 0.000 0.000 0.500 [2 per cell]
Rh: 0.000 0.500 0.250 [2 per cell]